1.
Compound: Nd5Te5Ir
Source: Alexandria
Functional: PBE
Structure: optimized geometry

The calculation puts the uncorrected formation energy at -1.27 eV/atom. Its density of states at the Fermi level is 15.86 states/eV/cell.

The space group is C2/m (No. 12) and the conventional cell measures 14.208, 6.353 and 8.818 Å, with angles of 90.00, 109.08 and 90.00 degrees. Symmetry generates all atoms from Nd at (0.000, 0.000, 0.000), Nd at (0.149, 0.500, 0.849), Nd at (0.150, 0.500, 0.308), Te at (0.000, 0.500, 0.500), Te at (0.165, 0.000, 0.825), Te at (0.182, 0.000, 0.333) and Ir at (0.000, 0.500, 0.000).



2.
Compound: Ca2CoAs2
Source: Alexandria
Functional: PBE
Structure: optimized geometry

The calculation puts the electronic total energy at -4.124 eV per atom. Its density of states at the Fermi level is 6.23 states/eV/cell.

The space group is I4/mmm (No. 139) and the conventional cell measures 3.816, 3.816 and 16.552 Å, with angles of 90.00, 90.00 and 90.00 degrees. Symmetry generates all atoms from Ca at (0.000, 0.000, 0.104), Co at (0.000, 0.000, 0.500) and As at (0.000, 0.500, 0.250).